{"formula": "Cd2In5Pb2", "functional": "PBE", "state": "optimized geometry", "space_group": "No. 12", "delta_e_f_ev_per_atom": 0.039, "lattice_angstrom": [[9.1233, -1.6609, 0.0000], [9.1233, 1.6609, 0.0000], [-1.0397, 0.0000, 8.1859]], "species": ["Cd", "Cd", "In", "In", "In", "In", "In", "Pb", "Pb"], "fractional_positions": [[0.1754, 0.1754, 0.0072], [0.8246, 0.8246, 0.9928], [0.0000, 0.0000, 0.0000], [0.1061, 0.1061, 0.3390], [0.2356, 0.2356, 0.6688], [0.7644, 0.7644, 0.3312], [0.8939, 0.8939, 0.6610], [0.4332, 0.4332, 0.3191], [0.5668, 0.5668, 0.6809]]}